# 1
{"formula": "Y2Si4IrRh3", "functional": "PBE", "state": "optimized geometry", "e_tot_ha_per_atom": -0.27992, "space_group": "No. 115", "lattice_angstrom": [[4.124, 0.000, 0.000], [0.000, 4.124, 0.000], [0.000, 0.000, 9.822]], "species": ["Y", "Y", "Si", "Si", "Si", "Si", "Ir", "Rh", "Rh", "Rh"], "frac_coords": [[0.500, 0.000, 0.244], [0.000, 0.500, 0.756], [0.500, 0.500, 0.000], [0.000, 0.000, 0.000], [0.500, 0.000, 0.631], [0.000, 0.500, 0.369], [0.500, 0.500, 0.500], [0.000, 0.000, 0.500], [0.500, 0.000, 0.873], [0.000, 0.500, 0.127]]}

# 2
{"formula": "PmIn2TcO8", "functional": "PBE", "state": "optimized geometry", "e_tot_ha_per_atom": -0.24815, "space_group": "No. 65", "lattice_angstrom": [[4.989, -0.031, -0.003], [-0.007, 4.988, -0.006], [0.004, 0.007, 6.676]], "species": ["Pm", "In", "In", "Tc", "O", "O", "O", "O", "O", "O", "O", "O"], "frac_coords": [[0.000, 0.000, 0.500], [0.500, 0.500, 0.753], [0.500, 0.500, 0.247], [0.000, 0.000, 0.000], [0.184, 0.815, 0.202], [0.717, 0.718, 0.000], [0.815, 0.185, 0.202], [0.816, 0.185, 0.798], [0.283, 0.282, 0.000], [0.185, 0.815, 0.798], [0.685, 0.685, 0.500], [0.315, 0.315, 0.500]]}